<P>
An optimized crystal structure of Be3MoPb. Source: Alexandria, functional PBE-GGA.

Properties
ρ: 5.93 g cm⁻³

Unit cell a=4.522 b=4.522 c=4.522 alpha=90.00 beta=90.00 gamma=90.00
Space group Pm-3m (No. 221)
Inequivalent atoms, fractional coordinates:
Be (0.000, 0.000, 0.500) [3 per cell]
Mo (0.500, 0.500, 0.500) [1 per cell]
Pb (0.000, 0.000, 0.000) [1 per cell]

<Q>
An optimized crystal structure of Be3MoPb. Source: Alexandria, functional PBE-GGA.

Properties
ρ: 6.18 g cm⁻³

Unit cell a=4.461 b=4.461 c=4.461 alpha=90.00 beta=90.00 gamma=90.00
Space group Pm-3m (No. 221)
Inequivalent atoms, fractional coordinates:
Be (0.000, 0.000, 0.500) [3 per cell]
Mo (0.000, 0.000, 0.000) [1 per cell]
Pb (0.500, 0.500, 0.500) [1 per cell]

Q: Which of them is the least stable? A: <P>.